1.
Entry from the Open Quantum Materials Database: K3US4 after structural relaxation (PBE).

Results
Its total magnetization is 1.00 μB per formula unit. Its raw total energy is -5.223 eV per atom. Its space-group type is No. 65.

POSCAR file:
```
K3US4
1.0
-7.568 -0.927 0.591
2.487 -3.644 -6.246
0.600 -3.458 2.256
K S U
3 4 1
direct
0.500 0.500 0.000 K
0.500 0.000 0.500 K
0.000 0.500 0.500 K
0.798 0.202 0.000 S
0.202 0.798 0.000 S
0.201 0.201 0.500 S
0.799 0.799 0.500 S
0.000 0.000 0.000 U
```

2.
Entry from the Open Quantum Materials Database: K4US5 after structural relaxation (PBE).

Results
Its total magnetization is 0.00 μB per formula unit. Its raw total energy is -4.902 eV per atom. Its space-group type is No. 79.

POSCAR file:
```
K4US5
1.0
-4.967 4.967 3.055
4.967 -4.967 3.055
4.967 4.967 -3.055
K S U
4 5 1
direct
0.391 0.794 0.193 K
0.794 0.600 0.402 K
0.198 0.391 0.598 K
0.600 0.198 0.807 K
0.549 0.549 0.000 S
0.922 0.239 0.168 S
0.239 0.071 0.316 S
0.755 0.922 0.684 S
0.071 0.755 0.832 S
0.970 0.970 0.000 U
```

3.
Entry from the Open Quantum Materials Database: K2US4 after structural relaxation (PBE).

Results
Its total magnetization is 0.00 μB per formula unit. Its raw total energy is -5.558 eV per atom. Its space-group type is No. 55.

POSCAR file:
```
K2US4
1.0
7.833 0.000 0.000
0.000 12.710 0.000
0.000 0.000 4.137
K S U
4 8 2
direct
0.077 0.180 0.500 K
0.577 0.320 0.500 K
0.423 0.680 0.500 K
0.923 0.820 0.500 K
0.379 0.177 0.000 S
0.879 0.323 0.000 S
0.121 0.677 0.000 S
0.621 0.823 0.000 S
0.695 0.049 0.500 S
0.195 0.451 0.500 S
0.805 0.549 0.500 S
0.305 0.951 0.500 S
0.500 0.000 0.000 U
0.000 0.500 0.000 U
```

4.
Entry from the Open Quantum Materials Database: K2U3S8 after structural relaxation (PBE).

Results
Its total magnetization is 4.00 μB per formula unit. Its raw total energy is -6.669 eV per atom. Its space-group type is No. 12.

POSCAR file:
```
K2U3S8
1.0
7.509 -4.044 0.000
7.509 4.044 0.000
-2.213 0.000 6.556
K S U
2 8 3
direct
0.728 0.728 0.161 K
0.272 0.272 0.839 K
0.677 0.127 0.114 S
0.127 0.677 0.114 S
0.097 0.097 0.402 S
0.605 0.605 0.458 S
0.395 0.395 0.542 S
0.903 0.903 0.598 S
0.873 0.323 0.886 S
0.323 0.873 0.886 S
0.000 0.000 0.000 U
0.744 0.256 0.500 U
0.256 0.744 0.500 U
```

5.
Entry from the Open Quantum Materials Database: KW3S5 after structural relaxation (PBE).

Results
Its total magnetization is 2.82 μB per formula unit. Its raw total energy is -7.027 eV per atom. Its space-group type is No. 191.

POSCAR file:
```
KW3S5
1.0
5.633 0.000 0.000
-2.817 4.878 0.000
0.000 0.000 7.265
K S W
1 5 3
direct
0.000 0.000 0.000 K
0.667 0.333 0.247 S
0.333 0.667 0.247 S
0.000 0.000 0.500 S
0.667 0.333 0.753 S
0.333 0.667 0.753 S
0.500 0.000 0.500 W
0.000 0.500 0.500 W
0.500 0.500 0.500 W
```

6.
Entry from the Open Quantum Materials Database: KYZnS3 after structural relaxation (PBE).

Results
Its total magnetization is 0.00 μB per formula unit. Its raw total energy is -4.882 eV per atom. Its space-group type is No. 12.

POSCAR file:
```
KYZnS3
1.0
8.711 -2.014 0.000
8.711 2.014 0.000
-1.866 0.000 8.190
K S Y Zn
2 6 2 2
direct
0.857 0.857 0.431 K
0.143 0.143 0.569 K
0.000 0.000 0.000 S
0.328 0.328 0.141 S
0.661 0.661 0.289 S
0.500 0.500 0.500 S
0.339 0.339 0.711 S
0.672 0.672 0.859 S
0.168 0.168 0.073 Y
0.832 0.832 0.927 Y
0.524 0.524 0.236 Zn
0.476 0.476 0.764 Zn
```

7.
Entry from the Open Quantum Materials Database: KYZnS3 after structural relaxation (PBE).

Results
Its total magnetization is 0.00 μB per formula unit. Its raw total energy is -5.017 eV per atom. Its space-group type is No. 11.

POSCAR file:
```
KYZnS3
1.0
8.180 0.000 0.000
0.000 3.979 0.000
-3.258 0.000 9.593
K S Y Zn
2 6 2 2
direct
0.757 0.250 0.280 K
0.243 0.750 0.720 K
0.958 0.750 0.143 S
0.426 0.750 0.168 S
0.285 0.250 0.444 S
0.715 0.750 0.556 S
0.574 0.250 0.832 S
0.042 0.250 0.857 S
0.185 0.250 0.135 Y
0.815 0.750 0.865 Y
0.420 0.750 0.393 Zn
0.580 0.250 0.607 Zn
```

8.
Entry from the Open Quantum Materials Database: K2ZnS2 after structural relaxation (PBE).

Results
Its raw total energy is -3.413 eV per atom. Its space-group type is No. 72.

POSCAR file:
```
K2ZnS2
1.0
4.410 -5.399 3.564
-1.786 7.424 1.731
-4.341 -6.449 0.932
K S Zn
4 4 2
direct
0.855 0.333 0.187 K
0.645 0.833 0.478 K
0.355 0.167 0.522 K
0.145 0.667 0.813 K
0.398 0.688 0.086 S
0.102 0.188 0.290 S
0.898 0.812 0.710 S
0.602 0.312 0.914 S
0.250 0.250 0.000 Zn
0.750 0.750 0.000 Zn
```

9.
Entry from the Open Quantum Materials Database: KZr3S5 after structural relaxation (PBE).

Results
Its total magnetization is 0.01 μB per formula unit. Its raw total energy is -6.556 eV per atom. Its space-group type is No. 191.

POSCAR file:
```
KZr3S5
1.0
6.097 0.000 0.000
-3.048 5.280 0.000
0.000 0.000 7.176
K S Zr
1 5 3
direct
0.000 0.000 0.000 K
0.667 0.333 0.240 S
0.333 0.667 0.240 S
0.000 0.000 0.500 S
0.667 0.333 0.760 S
0.333 0.667 0.760 S
0.500 0.000 0.500 Zr
0.000 0.500 0.500 Zr
0.500 0.500 0.500 Zr
```

10.
Entry from the Open Quantum Materials Database: KZrS2 after structural relaxation (PBE).

Results
Its total magnetization is 1.00 μB per formula unit. Its raw total energy is -5.767 eV per atom. Its space-group type is No. 15.

POSCAR file:
```
KZrS2
1.0
4.202 -5.047 0.000
4.202 5.047 0.000
-3.447 0.000 5.545
K S Zr
2 4 2
direct
0.370 0.630 0.250 K
0.630 0.370 0.750 K
0.318 0.088 0.176 S
0.912 0.682 0.324 S
0.088 0.318 0.676 S
0.682 0.912 0.824 S
0.971 0.029 0.250 Zr
0.029 0.971 0.750 Zr
```

11.
Entry from the Open Quantum Materials Database: KSm2Sb3Se8 after structural relaxation (PBE).

Results
Its total magnetization is 0.00 μB per formula unit. Its raw total energy is -4.615 eV per atom. Its space-group type is No. 62.

POSCAR file:
```
KSm2Sb3Se8
1.0
17.227 0.000 0.000
0.000 4.136 0.000
0.000 0.000 22.235
K Sb Se Sm
4 12 32 8
direct
0.301 0.750 0.242 K
0.801 0.750 0.258 K
0.199 0.250 0.742 K
0.699 0.250 0.758 K
0.421 0.250 0.084 Sb
0.649 0.750 0.102 Sb
0.037 0.250 0.244 Sb
0.537 0.250 0.256 Sb
0.149 0.750 0.398 Sb
0.921 0.250 0.416 Sb
0.079 0.750 0.584 Sb
0.851 0.250 0.602 Sb
0.463 0.750 0.744 Sb
0.963 0.750 0.756 Sb
0.351 0.250 0.898 Sb
0.579 0.750 0.916 Sb
0.622 0.250 0.001 Se
0.074 0.250 0.042 Se
0.792 0.750 0.054 Se
0.277 0.250 0.124 Se
0.473 0.750 0.166 Se
0.908 0.250 0.171 Se
0.102 0.750 0.178 Se
0.682 0.250 0.179 Se
0.182 0.250 0.321 Se
0.602 0.750 0.322 Se
0.408 0.250 0.329 Se
0.973 0.750 0.334 Se
0.777 0.250 0.376 Se
0.292 0.750 0.446 Se
0.574 0.250 0.458 Se
0.122 0.250 0.499 Se
0.878 0.750 0.501 Se
0.426 0.750 0.542 Se
0.708 0.250 0.554 Se
0.223 0.750 0.624 Se
0.027 0.250 0.666 Se
0.592 0.750 0.671 Se
0.398 0.250 0.678 Se
0.818 0.750 0.679 Se
0.318 0.750 0.821 Se
0.898 0.250 0.822 Se
0.092 0.750 0.829 Se
0.527 0.250 0.834 Se
0.723 0.750 0.876 Se
0.208 0.250 0.946 Se
0.926 0.750 0.958 Se
0.378 0.750 0.999 Se
0.207 0.750 0.043 Sm
0.964 0.750 0.091 Sm
0.464 0.750 0.409 Sm
0.707 0.750 0.457 Sm
0.293 0.250 0.543 Sm
0.536 0.250 0.591 Sm
0.036 0.250 0.909 Sm
0.793 0.250 0.957 Sm
```

12.
Entry from the Open Quantum Materials Database: KSmSbSe3 after structural relaxation (PBE).

Results
Its total magnetization is 0.10 μB per formula unit. Its raw total energy is -4.339 eV per atom. Its space-group type is No. 63.

POSCAR file:
```
KSmSbSe3
1.0
-8.217 0.591 1.165
6.427 -2.800 -4.482
0.190 -9.082 5.946
K Sb Se Sm
2 2 6 2
direct
0.255 0.745 0.250 K
0.745 0.255 0.750 K
0.965 0.035 0.250 Sb
0.035 0.965 0.750 Sb
0.874 0.126 0.038 Se
0.598 0.402 0.250 Se
0.874 0.126 0.462 Se
0.126 0.874 0.538 Se
0.402 0.598 0.750 Se
0.126 0.874 0.962 Se
0.500 0.500 0.000 Sm
0.500 0.500 0.500 Sm
```